Record 1
Computed, not measured: crystalline SrSBr2 at its relaxed geometry at the PBEsol level of DFT.

a = 5.2835 Å, b = 5.2835 Å, c = 5.2835 Å
α = 60.00°, β = 60.00°, γ = 60.00°
Site moments in Bohr magnetons follow the coordinates.
Positions (direct):
Br  0.7500  0.7500  0.7500  0.20
Br  0.2500  0.2500  0.2500  0.20
Sr  0.5000  0.5000  0.5000  0.01
S  0.0000  0.0000  0.0000  0.91

Size of the total moment: 2.0 μB per cell
Formation energy from raw total energies: -0.891 eV/atom
Density: 4.5 g cm⁻³
DOS at the Fermi energy: 3.192 states/eV per cell
DFT total energy: -3.382 eV per atom
E above lowest polymorph: 0.000 eV per atom

Record 2
Computed, not measured: crystalline CoAuBr2 at its relaxed geometry at the PBEsol level of DFT.

a = 3.6941 Å, b = 3.7302 Å, c = 6.1907 Å
α = 90.00°, β = 90.00°, γ = 90.00°
Site moments in Bohr magnetons follow the coordinates.
Positions (direct):
Co  0.5000  0.5000  0.0000  1.99
Br  0.0000  0.0000  0.0000  0.06
Br  0.0000  0.5000  0.5000  0.02
Au  0.5000  0.0000  0.5000  0.01

Size of the total moment: 2.1 μB per cell
Formation energy from raw total energies: 0.527 eV/atom
Density: 8.1 g cm⁻³
DOS at the Fermi energy: 4.631 states/eV per cell
DFT total energy: -3.323 eV per atom

Record 3
Computed, not measured: crystalline LaCeB12 at its relaxed geometry at the PBEsol level of DFT.

a = 5.8133 Å, b = 5.8133 Å, c = 5.8133 Å
α = 60.00°, β = 60.00°, γ = 60.00°
Site moments in Bohr magnetons follow the coordinates.
Positions (direct):
B  0.9005  0.5995  0.9005  0.00
B  0.0995  0.4005  0.0995  0.00
B  0.9005  0.5995  0.5995  0.00
B  0.4005  0.4005  0.0995  0.00
B  0.0995  0.0995  0.4005  0.00
B  0.4005  0.0995  0.4005  0.00
B  0.5995  0.5995  0.9005  0.00
B  0.5995  0.9005  0.5995  0.00
B  0.5995  0.9005  0.9005  0.00
B  0.4005  0.0995  0.0995  0.00
B  0.9005  0.9005  0.5995  0.00
B  0.0995  0.4005  0.4005  0.00
Ce  0.0000  0.0000  0.0000  0.57
La  0.5000  0.5000  0.5000  0.00

Size of the total moment: 0.7 μB per cell
Density: 4.9 g cm⁻³
DOS at the Fermi energy: 5.672 states/eV per cell
DFT total energy: -7.414 eV per atom
DFT formation energy: -0.55 eV/atom

- What is the formula in the third record?
  LaCeB12

- Which formula does entry 3 have?
  LaCeB12

- What is the size of the total moment in the second record?
  2.1 μB per cell